Entry a
Sc2Mn2Se: optimized geometry, PBE.

Its mass density is 5.6 g/cm3.

It has space group P4/mbm (No. 127), with a = 6.220 Å, b = 6.220 Å, c = 4.238 Å, α = 90.00°, β = 90.00° and γ = 90.00°. Symmetry generates all atoms from Sc at (0.174, 0.326, 0.000), Mn at (0.117, 0.617, 0.500) and Se at (0.000, 0.000, 0.500).



Entry b
Sc2Mn2Se: optimized geometry, PBE.

Its mass density is 4.4 g/cm3.

It has space group I4/mmm (No. 139), with a = 4.175 Å, b = 4.175 Å, c = 11.968 Å, α = 90.00°, β = 90.00° and γ = 90.00°. Symmetry generates all atoms from Sc at (0.000, 0.500, 0.250), Mn at (0.000, 0.000, 0.099) and Se at (0.000, 0.000, 0.500).



Stability check: which of them is most stable? entry a.